1.
Below is a relaxed TbTm6Ni3 crystal, with properties calculated at the PBE level.

The structure in extended XYZ format:
```
20
Lattice="-4.477 5.368 0.274 -3.828 -3.527 6.558 5.747 4.589 4.001" Properties=species:S:1:pos:R:3 pbc="T T T"
Tb 2.479 2.262 4.829
Tb -3.232 2.003 5.893
Tm 0.158 1.315 7.192
Tm -1.357 4.613 7.136
Tm 1.893 4.073 7.763
Tm -4.003 3.657 8.876
Tm 4.716 5.233 4.124
Tm 1.299 5.480 4.720
Tm -1.696 -1.641 5.980
Tm -6.519 0.292 6.662
Tm 0.844 3.493 1.993
Tm -5.051 3.077 3.107
Tm -0.485 0.959 3.653
Tm -2.000 4.257 3.597
Ni -1.518 2.425 8.895
Ni -1.703 6.849 8.484
Ni 0.044 3.231 5.174
Ni -3.760 4.588 5.729
Ni -2.872 6.202 2.050
Ni -2.687 1.778 2.461
```

Values from the calculation:
Calculated volume, Å³/cell: 483
SG: Cmc2_1 (36)
Energy, eV per cell: -102.87
Crystal system: orthorhombic



2.
Below is a relaxed Re2MoSe crystal, with properties calculated at the PBE level.

The structure in extended XYZ format:
```
4
Lattice="5.159 0.000 0.000 2.418 4.558 0.000 -3.789 -2.279 2.659" Properties=species:S:1:pos:R:3 pbc="T T T"
Mo 2.580 0.000 1.330
Re 0.000 0.000 0.000
Re 3.789 2.279 0.000
Se 1.209 2.279 1.330
```

Values from the calculation:
Calculated volume, Å³/cell: 63
Formation energy without anion corrections, eV/f.u.: 2.79
SG: I4/mmm (139)
Crystal system: tetragonal



3.
Below is a relaxed HfZr5In crystal, with properties calculated at the PBE level.

The structure in extended XYZ format:
```
7
Lattice="4.721 0.000 0.000 0.000 4.721 0.000 0.000 0.000 7.482" Properties=species:S:1:pos:R:3 pbc="T T T"
Hf 2.361 2.361 0.000
Zr 0.000 2.361 5.819
Zr 0.000 2.361 1.663
Zr 2.361 0.000 5.819
Zr 2.361 0.000 1.663
Zr 2.361 2.361 3.741
In 0.000 0.000 3.741
```

Values from the calculation:
Calculated volume, Å³/cell: 167
SG: P4/mmm (123)
Energy, eV per cell: -54.15
Crystal system: tetragonal



4.
Below is a relaxed La2MgHgO crystal, with properties calculated at the PBE level.

The structure in extended XYZ format:
```
5
Lattice="-1.584 -2.537 4.128 -0.989 -4.082 -2.888 4.195 -1.502 0.686" Properties=species:S:1:pos:R:3 pbc="T T T"
Mg 2.097 -0.751 0.343
Hg 0.811 -4.060 0.963
O 0.000 0.000 0.000
La -0.495 -2.041 -1.444
La -0.792 -1.268 2.064
```

Values from the calculation:
Calculated volume, Å³/cell: 117
Formation energy without anion corrections, eV/f.u.: -6.32
SG: P4/mmm (123)
Crystal system: tetragonal



5.
Below is a relaxed CaSiPt crystal, with properties calculated at the PBE level.

The structure in extended XYZ format:
```
3
Lattice="5.786 -0.006 -0.016 3.870 4.302 0.016 -4.821 -2.164 2.357" Properties=species:S:1:pos:R:3 pbc="T T T"
Ca 0.015 0.007 0.000
Pt 2.819 1.254 0.000
Si 6.821 3.035 0.000
```

Values from the calculation:
Calculated volume, Å³/cell: 59
Formation energy without anion corrections, eV/f.u.: -1.99
SG: I4mm (107)
Crystal system: tetragonal



6.
Below is a relaxed LiNiSnPd crystal, with properties calculated at the PBE level.

The structure in extended XYZ format:
```
4
Lattice="4.070 0.000 0.000 0.000 4.070 0.000 -2.035 -2.035 3.578" Properties=species:S:1:pos:R:3 pbc="T T T"
Li 0.000 2.035 1.788
Ni 0.000 0.000 0.000
Sn 2.035 0.000 1.789
Pd 0.000 0.000 3.577
```

Values from the calculation:
Calculated volume, Å³/cell: 59
SG: I-4m2 (119)
Energy, eV per cell: -18.62
Crystal system: tetragonal